## Mn3CrO8 (PBE with a Hubbard U)

Data for crystalline Mn3CrO8 at its relaxed geometry.

Cell and atoms, written as POSCAR:
```
Mn3CrO8
1.0
2.935 1.694 4.980
-2.935 1.694 4.980
0.000 -3.389 4.980
Mn Cr O
3 1 8
Cartesian
-1.467 -0.847 4.980
-1.467 0.847 9.961
0.000 1.694 4.980
0.000 0.000 0.000
0.000 -1.689 5.934
-1.463 0.845 5.934
0.000 0.000 4.022
-1.463 -0.845 9.007
1.463 0.845 5.934
0.000 0.000 10.919
1.463 -0.845 9.007
0.000 1.689 9.007
```

E above lowest polymorph   12.6 meV/atom
Symmetry   R-3m
Electronic total energy   -7.14 eV per atom
Crystal system   trigonal